Li2Ca2Sn | PBE | relaxed

Output
VASP energy in eV per cell: -12.8
Space group: I4/mmm
Magnetic moment in μB/atom: 0.000
Crystal system: tetragonal

Unit cell a=10.388 b=10.388 c=10.388 alpha=159.14 beta=159.14 gamma=29.66
Atoms (fractional coordinates):
Li 0.250 0.750 0.500
Li 0.750 0.250 0.500
Ca 0.099 0.099 0.000
Ca 0.901 0.901 0.000
Sn 0.500 0.500 0.000


LiH3Pt | PBE | relaxed

Output
VASP energy in eV per cell: -38.9
Space group: P6_3/mmc
Magnetic moment in μB/atom: 0.000
Crystal system: hexagonal

Unit cell a=3.181 b=3.181 c=9.596 alpha=90.00 beta=90.00 gamma=120.00
Atoms (fractional coordinates):
Li 0.000 0.000 0.000
Li 0.000 0.000 0.500
H 0.000 0.000 0.250
H 0.000 0.000 0.750
H 0.333 0.667 0.077
H 0.333 0.667 0.423
H 0.667 0.333 0.577
H 0.667 0.333 0.923
Pt 0.333 0.667 0.250
Pt 0.667 0.333 0.750


NiRh2Br | PBE | relaxed

Output
Space group: Imm2
Magnetic moment in μB/atom: 0.000
Crystal system: orthorhombic
Formation energy from raw total energies in meV/atom: 582.1

Unit cell a=5.242 b=5.242 c=5.242 alpha=147.82 beta=129.00 gamma=61.59
Atoms (fractional coordinates):
Ni 0.000 0.000 0.000
Rh 0.251 0.751 0.500
Rh 0.519 0.519 0.000
Br 0.763 0.263 0.500


La4ZrTe | PBE | relaxed

Output
Space group: F-43m
Magnetic moment in μB/atom: 0.219
Crystal system: cubic
Formation energy from raw total energies in meV/atom: 207.3

Unit cell a=6.470 b=6.470 c=6.470 alpha=60.00 beta=60.00 gamma=60.00
Atoms (fractional coordinates):
La 0.377 0.377 0.377
La 0.377 0.377 0.869
La 0.377 0.869 0.377
La 0.869 0.377 0.377
Zr 0.750 0.750 0.750
Te 0.000 0.000 0.000


Sr2BiF | PBE | relaxed

Output
Space group: Fm-3m
Magnetic moment in μB/atom: 0.000
Crystal system: cubic
Formation energy from raw total energies in meV/atom: -1626.7

Unit cell a=5.553 b=5.553 c=5.553 alpha=60.00 beta=60.00 gamma=60.00
Atoms (fractional coordinates):
Sr 0.250 0.250 0.250
Sr 0.750 0.750 0.750
Bi 0.000 0.000 0.000
F 0.500 0.500 0.500


Mg2ZrW | PBE | relaxed

Output
VASP energy in eV per cell: -22.4
Space group: Fm-3m
Magnetic moment in μB/atom: 0.100
Crystal system: cubic

Unit cell a=4.759 b=4.759 c=4.759 alpha=60.00 beta=60.00 gamma=60.00
Atoms (fractional coordinates):
Mg 0.250 0.250 0.250
Mg 0.750 0.750 0.750
Zr 0.000 0.000 0.000
W 0.500 0.500 0.500


Question: What is the formula in the fourth record?
Answer: La4ZrTe


Question: What is the magnetic moment in the fourth record?
Answer: 0.219 μB/atom